Compound: Er6Mg23
Source: Alexandria via LeMat-Bulk
Functional: GGA-PBE
Structure: optimized geometry

Values from the calculation:
- crystal system = cubic
- energy of formation (meV per atom) = -29

Cell: 10.0297 10.0297 10.0297 Å, 60.00 60.00 60.00°
Last column: nearest neighbours and their distance in Å.
Atoms (fractional coordinates):
Er: 0.1897 0.1897 0.8103  12 Mg 3.39-3.65
Er: 0.1897 0.8103 0.1897  12 Mg 3.39-3.65
Er: 0.1897 0.8103 0.8103  12 Mg 3.39-3.65
Er: 0.8103 0.1897 0.1897  12 Mg 3.39-3.65
Er: 0.8103 0.1897 0.8103  12 Mg 3.39-3.65
Er: 0.8103 0.8103 0.1897  12 Mg 3.39-3.65
Mg: 0.0000 0.0000 0.5000  8 Mg 2.90-3.12
Mg: 0.0000 0.5000 0.0000  8 Mg 2.90-3.12
Mg: 0.0000 0.5000 0.5000  8 Mg 2.90-3.12
Mg: 0.1407 0.6198 0.6198  7 Mg 2.94-3.16
Mg: 0.1682 0.1682 0.1682  6 Mg 2.90-3.16
Mg: 0.1682 0.1682 0.4954  6 Mg 2.90-3.16
Mg: 0.1682 0.4954 0.1682  6 Mg 2.90-3.16
Mg: 0.3802 0.3802 0.3802  7 Mg 2.94-3.16
Mg: 0.3802 0.3802 0.8593  7 Mg 2.94-3.16
Mg: 0.3802 0.8593 0.3802  7 Mg 2.94-3.16
Mg: 0.4954 0.1682 0.1682  6 Mg 2.90-3.16
Mg: 0.5000 0.0000 0.0000  8 Mg 2.90-3.12
Mg: 0.5000 0.0000 0.5000  8 Mg 2.90-3.12
Mg: 0.5000 0.5000 0.0000  8 Mg 2.90-3.12
Mg: 0.5000 0.5000 0.5000  8 Mg 2.94
Mg: 0.5046 0.8318 0.8318  6 Mg 2.90-3.16
Mg: 0.6198 0.1407 0.6198  7 Mg 2.94-3.16
Mg: 0.6198 0.6198 0.1407  7 Mg 2.94-3.16
Mg: 0.6198 0.6198 0.6198  7 Mg 2.94-3.16
Mg: 0.8318 0.5046 0.8318  6 Mg 2.90-3.16
Mg: 0.8318 0.8318 0.5046  6 Mg 2.90-3.16
Mg: 0.8318 0.8318 0.8318  6 Mg 2.90-3.16
Mg: 0.8593 0.3802 0.3802  7 Mg 2.94-3.16